*w*
Here is a relaxed structure of LiZrTe2I from the Alexandria database. Energies are from PBE.

Cell lengths 5.061, 5.061, 5.320 Å; angles 90.00, 90.00, 90.00 degrees
Space group P4/mmm (No. 123)
One atom of each set of equivalent atoms:
Li (0.000, 0.000, 0.000) [1 per cell]
Zr (0.500, 0.500, 0.500) [1 per cell]
Te (0.000, 0.500, 0.000) [2 per cell]
I (0.000, 0.000, 0.500) [1 per cell]



*x*
Here is a relaxed structure of LiZrTe2I from the Alexandria database. Energies are from PBE.

Cell lengths 5.639, 5.639, 5.889 Å; angles 90.00, 90.00, 90.00 degrees
Space group P4/mmm (No. 123)
One atom of each set of equivalent atoms:
Li (0.000, 0.000, 0.000) [1 per cell]
Zr (0.500, 0.500, 0.500) [1 per cell]
Te (0.000, 0.500, 0.500) [2 per cell]
I (0.500, 0.500, 0.000) [1 per cell]



Stability ranking, top and bottom: *x* is the most stable and *w* is the least stable.



*w*
Here is a relaxed structure of LiTi2I6 from the Alexandria database. Energies are from PBE.

Cell lengths 16.215, 15.830, 7.290 Å; angles 90.00, 116.67, 90.00 degrees
Space group C2/c (No. 15)
One atom of each set of equivalent atoms:
Li (0.000, 0.250, 0.250) [4 per cell]
Ti (0.250, 0.076, 0.374) [8 per cell]
I (0.095, 0.148, 0.096) [8 per cell]
I (0.095, 0.353, 0.594) [8 per cell]
I (0.249, 0.087, 0.748) [8 per cell]



*x*
Here is a relaxed structure of LiTi2I6 from the Alexandria database. Energies are from PBE.

Cell lengths 15.222, 4.050, 12.181 Å; angles 90.00, 120.17, 90.00 degrees
Space group C2/m (No. 12)
One atom of each set of equivalent atoms:
Li (0.000, 0.000, 0.000) [2 per cell]
Ti (0.174, 0.500, 0.347) [4 per cell]
I (0.020, 0.000, 0.260) [4 per cell]
I (0.159, 0.500, 0.107) [4 per cell]
I (0.173, 0.500, 0.579) [4 per cell]



Stability ranking, top and bottom: *x* is the most stable and *w* is the least stable.



*w*
Here is a relaxed structure of Li2TiI from the Alexandria database. Energies are from PBE.

Cell lengths 7.229, 7.229, 7.229 Å; angles 90.00, 90.00, 90.00 degrees
Space group Fm-3m (No. 225)
One atom of each set of equivalent atoms:
Li (0.250, 0.250, 0.250) [8 per cell]
Ti (0.000, 0.000, 0.000) [4 per cell]
I (0.000, 0.000, 0.500) [4 per cell]



*x*
Here is a relaxed structure of Li2TiI from the Alexandria database. Energies are from PBE.

Cell lengths 8.017, 8.017, 5.567 Å; angles 90.00, 90.00, 90.00 degrees
Space group I-42d (No. 122)
One atom of each set of equivalent atoms:
Li (0.218, 0.250, 0.125) [8 per cell]
Ti (0.000, 0.000, 0.500) [4 per cell]
I (0.000, 0.000, 0.000) [4 per cell]



Stability ranking, top and bottom: *x* is the most stable and *w* is the least stable.



*w*
Here is a relaxed structure of LiTi3I from the Alexandria database. Energies are from PBE.

Cell lengths 5.036, 5.036, 5.036 Å; angles 90.00, 90.00, 90.00 degrees
Space group Pm-3m (No. 221)
One atom of each set of equivalent atoms:
Li (0.000, 0.000, 0.000) [1 per cell]
Ti (0.000, 0.500, 0.500) [3 per cell]
I (0.500, 0.500, 0.500) [1 per cell]



*x*
Here is a relaxed structure of LiTi3I from the Alexandria database. Energies are from PBE.

Cell lengths 4.539, 4.539, 4.539 Å; angles 90.00, 90.00, 90.00 degrees
Space group Pm-3m (No. 221)
One atom of each set of equivalent atoms:
Li (0.000, 0.000, 0.000) [1 per cell]
Ti (0.000, 0.000, 0.500) [3 per cell]
I (0.500, 0.500, 0.500) [1 per cell]



Stability ranking, top and bottom: *x* is the most stable and *w* is the least stable.



*w*
Here is a relaxed structure of Li2TlI3 from the Alexandria database. Energies are from PBE.

Cell lengths 10.190, 14.179, 6.399 Å; angles 90.00, 90.00, 90.00 degrees
Space group Cmcm (No. 63)
One atom of each set of equivalent atoms:
Li (0.171, 0.000, 0.000) [8 per cell]
Tl (0.000, 0.262, 0.250) [4 per cell]
I (0.000, 0.107, 0.750) [4 per cell]
I (0.213, 0.371, 0.750) [8 per cell]



*x*
Here is a relaxed structure of Li2TlI3 from the Alexandria database. Energies are from PBE.

Cell lengths 26.922, 4.704, 7.427 Å; angles 90.00, 103.82, 90.00 degrees
Space group C2/m (No. 12)
One atom of each set of equivalent atoms:
Li (0.056, 0.000, 0.408) [4 per cell]
Li (0.206, 0.500, 0.520) [4 per cell]
Tl (0.137, 0.500, 0.913) [4 per cell]
I (0.048, 0.000, 0.775) [4 per cell]
I (0.105, 0.500, 0.340) [4 per cell]
I (0.231, 0.000, 0.727) [4 per cell]



Stability ranking, top and bottom: *x* is the most stable and *w* is the least stable.



*w*
Here is a relaxed structure of LiTmI4 from the Alexandria database. Energies are from PBE.

Cell lengths 8.556, 18.940, 7.509 Å; angles 90.00, 123.72, 90.00 degrees
Space group C2/c (No. 15)
One atom of each set of equivalent atoms:
Li (0.000, 0.079, 0.250) [4 per cell]
Tm (0.000, 0.429, 0.750) [4 per cell]
I (0.244, 0.451, 0.234) [8 per cell]
I (0.247, 0.173, 0.245) [8 per cell]



*x*
Here is a relaxed structure of LiTmI4 from the Alexandria database. Energies are from PBE.

Cell lengths 17.512, 4.297, 7.507 Å; angles 90.00, 115.11, 90.00 degrees
Space group C2/m (No. 12)
One atom of each set of equivalent atoms:
Li (0.000, 0.000, 0.000) [2 per cell]
Tm (0.000, 0.500, 0.500) [2 per cell]
I (0.103, 0.500, 0.931) [4 per cell]
I (0.113, 0.000, 0.452) [4 per cell]



Stability ranking, top and bottom: *x* is the most stable and *w* is the least stable.